a.
This record from Alexandria via LeMat-Bulk describes a relaxed structure of BaNaRe2. The functional is GGA-PBE.

Cell lengths 6.9435, 6.9435, 6.9435 Å; angles 90.00, 90.00, 90.00 degrees
Space group Fm-3m (No. 225)
Inequivalent atoms, fractional coordinates:
1 Ba 0.0000 0.0000 0.0000 x4
2 Na 0.0000 0.0000 0.5000 x4
3 Re 0.2500 0.2500 0.2500 x8

---

b.
This record from Alexandria via LeMat-Bulk describes a relaxed structure of BaNaRe2. The functional is GGA-PBE.

Cell lengths 8.7488, 8.7488, 5.0958 Å; angles 90.00, 90.00, 90.00 degrees
Space group I-42d (No. 122)
Inequivalent atoms, fractional coordinates:
1 Ba 0.0000 0.0000 0.0000 x4
2 Na 0.0000 0.0000 0.5000 x4
3 Re 0.2198 0.2500 0.6250 x8

---

Stability summary: most stable b, least stable a.

---

a.
This record from Alexandria via LeMat-Bulk describes a relaxed structure of BaNaRe3. The functional is GGA-PBE.

Cell lengths 4.8866, 4.8866, 4.8866 Å; angles 90.00, 90.00, 90.00 degrees
Space group Pm-3m (No. 221)
Inequivalent atoms, fractional coordinates:
1 Ba 0.0000 0.0000 0.0000 x1
2 Na 0.5000 0.5000 0.5000 x1
3 Re 0.0000 0.5000 0.5000 x3

---

b.
This record from Alexandria via LeMat-Bulk describes a relaxed structure of BaNaRe3. The functional is GGA-PBE.

Cell lengths 5.1306, 5.1306, 5.1306 Å; angles 90.00, 90.00, 90.00 degrees
Space group Pm-3m (No. 221)
Inequivalent atoms, fractional coordinates:
1 Ba 0.0000 0.0000 0.0000 x1
2 Na 0.5000 0.5000 0.5000 x1
3 Re 0.0000 0.0000 0.5000 x3

---

Stability summary: most stable a, least stable b.

---

a.
This record from Alexandria via LeMat-Bulk describes a relaxed structure of Ba4Na2Rh. The functional is GGA-PBE.

Cell lengths 9.1739, 8.0944, 9.6651 Å; angles 90.00, 108.77, 90.00 degrees
Space group P2_1/m (No. 11)
Inequivalent atoms, fractional coordinates:
1 Ba 0.0204 0.2500 0.2168 x2
2 Ba 0.3346 0.5022 0.5819 x4
3 Ba 0.3792 0.2500 0.0414 x2
4 Na 0.0184 0.2500 0.6857 x2
5 Na 0.2923 0.7500 0.1887 x2
6 Rh 0.3753 0.2500 0.3504 x2

---

b.
This record from Alexandria via LeMat-Bulk describes a relaxed structure of Ba4Na2Rh. The functional is GGA-PBE.

Cell lengths 6.0960, 6.0960, 19.6201 Å; angles 90.00, 90.00, 90.00 degrees
Space group I4/mmm (No. 139)
Inequivalent atoms, fractional coordinates:
1 Ba 0.0000 0.0000 0.1596 x4
2 Ba 0.0000 0.5000 0.0000 x4
3 Na 0.0000 0.0000 0.3614 x4
4 Rh 0.0000 0.0000 0.0000 x2

---

Stability summary: most stable b, least stable a.

---

a.
This record from Alexandria via LeMat-Bulk describes a relaxed structure of Ba6NaRh2. The functional is GGA-PBE.

Cell lengths 14.9506, 6.2411, 10.8945 Å; angles 90.00, 115.09, 90.00 degrees
Space group C2/m (No. 12)
Inequivalent atoms, fractional coordinates:
1 Ba 0.0099 0.0000 0.1837 x4
2 Ba 0.1775 0.5000 0.6175 x4
3 Ba 0.1905 0.5000 0.0737 x4
4 Na 0.0000 0.0000 0.5000 x2
5 Rh 0.1759 0.0000 0.0992 x4

---

b.
This record from Alexandria via LeMat-Bulk describes a relaxed structure of Ba6NaRh2. The functional is GGA-PBE.

Cell lengths 8.2478, 8.2478, 22.2421 Å; angles 90.00, 90.00, 120.00 degrees
Space group R3 (No. 146, hexagonal axes)
Inequivalent atoms, fractional coordinates:
1 Ba 0.0117 0.3640 0.0000 x9
2 Ba 0.0233 0.5903 0.1717 x9
3 Na 0.0000 0.0000 0.1268 x3
4 Rh 0.0000 0.0000 0.4115 x3
5 Rh 0.0000 0.0000 0.5966 x3

---

Stability summary: most stable b, least stable a.

---

a.
This record from Alexandria via LeMat-Bulk describes a relaxed structure of BaNaRh. The functional is GGA-PBE.

Cell lengths 15.7606, 4.6371, 5.6957 Å; angles 90.00, 101.52, 90.00 degrees
Space group C2/m (No. 12)
Inequivalent atoms, fractional coordinates:
1 Ba 0.1446 0.0000 0.3362 x4
2 Na 0.0891 0.5000 0.8038 x4
3 Rh 0.2371 0.0000 0.9156 x4

---

b.
This record from Alexandria via LeMat-Bulk describes a relaxed structure of BaNaRh. The functional is GGA-PBE.

Cell lengths 4.7155, 19.2080, 4.5708 Å; angles 90.00, 90.00, 90.00 degrees
Space group Cmcm (No. 63)
Inequivalent atoms, fractional coordinates:
1 Ba 0.0000 0.0859 0.2500 x4
2 Na 0.0000 0.3034 0.2500 x4
3 Rh 0.0000 0.4755 0.2500 x4

---

Stability summary: most stable b, least stable a.

---

a.
This record from Alexandria via LeMat-Bulk describes a relaxed structure of Ba2NaRh. The functional is GGA-PBE.

Cell lengths 4.4157, 4.4157, 34.1963 Å; angles 90.00, 90.00, 120.00 degrees
Space group R-3m (No. 166, hexagonal axes)
Inequivalent atoms, fractional coordinates:
1 Ba 0.0000 0.0000 0.1168 x6
2 Na 0.0000 0.0000 0.0000 x3
3 Rh 0.0000 0.0000 0.5000 x3

---

b.
This record from Alexandria via LeMat-Bulk describes a relaxed structure of Ba2NaRh. The functional is GGA-PBE.

Cell lengths 9.2369, 9.2369, 7.6599 Å; angles 90.00, 90.00, 90.00 degrees
Space group I-42d (No. 122)
Inequivalent atoms, fractional coordinates:
1 Ba 0.1678 0.2500 0.1250 x8
2 Na 0.0000 0.0000 0.5000 x4
3 Rh 0.0000 0.0000 0.0000 x4

---

Stability summary: most stable a, least stable b.

---

a.
This record from Alexandria via LeMat-Bulk describes a relaxed structure of Ba2NaRh. The functional is GGA-PBE.

Cell lengths 6.7508, 4.4506, 11.0229 Å; angles 90.00, 99.56, 90.00 degrees
Space group P2_1/m (No. 11)
Inequivalent atoms, fractional coordinates:
1 Ba 0.1787 0.2500 0.1275 x2
2 Ba 0.3089 0.2500 0.7804 x2
3 Na 0.2559 0.7500 0.4641 x2
4 Rh 0.3527 0.7500 0.9749 x2

---

b.
This record from Alexandria via LeMat-Bulk describes a relaxed structure of Ba2NaRh. The functional is GGA-PBE.

Cell lengths 3.8939, 3.8939, 9.8336 Å; angles 90.00, 90.00, 90.00 degrees
Space group P4/mmm (No. 123)
Inequivalent atoms, fractional coordinates:
1 Ba 0.0000 0.0000 0.1816 x2
2 Na 0.5000 0.5000 0.5000 x1
3 Rh 0.5000 0.5000 0.0000 x1

---

c.
This record from Alexandria via LeMat-Bulk describes a relaxed structure of Ba2NaRh. The functional is GGA-PBE.

Cell lengths 8.0730, 8.0730, 8.0730 Å; angles 90.00, 90.00, 90.00 degrees
Space group Fm-3m (No. 225)
Inequivalent atoms, fractional coordinates:
1 Ba 0.2500 0.2500 0.2500 x8
2 Na 0.0000 0.0000 0.0000 x4
3 Rh 0.0000 0.0000 0.5000 x4

---

Stability summary: most stable a, least stable c.

---

a.
This record from Alexandria via LeMat-Bulk describes a relaxed structure of Ba2NaTlRh. The functional is GGA-PBE.

Cell lengths 6.0817, 6.0817, 5.4000 Å; angles 90.00, 90.00, 90.00 degrees
Space group P4/mmm (No. 123)
Inequivalent atoms, fractional coordinates:
1 Ba 0.0000 0.5000 0.0000 x2
2 Na 0.0000 0.0000 0.5000 x1
3 Tl 0.5000 0.5000 0.5000 x1
4 Rh 0.5000 0.5000 0.0000 x1

---

b.
This record from Alexandria via LeMat-Bulk describes a relaxed structure of Ba2NaTlRh. The functional is GGA-PBE.

Cell lengths 5.8489, 5.8489, 5.6294 Å; angles 90.00, 90.00, 90.00 degrees
Space group P4/mmm (No. 123)
Inequivalent atoms, fractional coordinates:
1 Ba 0.0000 0.5000 0.0000 x2
2 Na 0.0000 0.0000 0.5000 x1
3 Tl 0.5000 0.5000 0.5000 x1
4 Rh 0.0000 0.0000 0.0000 x1

---

Stability summary: most stable a, least stable b.

---

a.
This record from Alexandria via LeMat-Bulk describes a relaxed structure of BaNaRu. The functional is GGA-PBE.

Cell lengths 3.3607, 5.4311, 5.1257 Å; angles 90.00, 100.31, 90.00 degrees
Space group P2/m (No. 10)
Inequivalent atoms, fractional coordinates:
1 Ba 0.0000 0.0000 0.0000 x1
2 Na 0.0000 0.5000 0.5000 x1
3 Ru 0.5000 0.0000 0.5000 x1

---

b.
This record from Alexandria via LeMat-Bulk describes a relaxed structure of BaNaRu. The functional is GGA-PBE.

Cell lengths 4.1077, 4.1111, 15.3740 Å; angles 82.63, 82.34, 60.03 degrees
Space group P1 (No. 1)
Inequivalent atoms, fractional coordinates:
1 Ba 0.0000 0.0000 0.0000 x1
2 Ba 0.4498 0.4404 0.6586 x1
3 Na 0.5899 0.5858 0.2350 x1
4 Na 0.8549 0.8608 0.4251 x1
5 Ru 0.3815 0.3774 0.8592 x1
6 Ru 0.7276 0.7225 0.8216 x1

---

Stability summary: most stable b, least stable a.

---

a.
This record from Alexandria via LeMat-Bulk describes a relaxed structure of BaNaRu. The functional is GGA-PBE.

Cell lengths 4.1107, 4.1107, 45.5237 Å; angles 90.00, 90.00, 120.00 degrees
Space group R3m (No. 160, hexagonal axes)
Inequivalent atoms, fractional coordinates:
1 Ba 0.0000 0.0000 0.0000 x3
2 Ba 0.0000 0.0000 0.2193 x3
3 Na 0.0000 0.0000 0.4749 x3
4 Na 0.0000 0.0000 0.7451 x3
5 Ru 0.0000 0.0000 0.2863 x3
6 Ru 0.0000 0.0000 0.6071 x3

---

b.
This record from Alexandria via LeMat-Bulk describes a relaxed structure of BaNaRu. The functional is GGA-PBE.

Cell lengths 7.2273, 4.1698, 15.0773 Å; angles 90.00, 99.48, 90.00 degrees
Space group C2/m (No. 12)
Inequivalent atoms, fractional coordinates:
1 Ba 0.0553 0.0000 0.1633 x4
2 Na 0.1963 0.0000 0.5972 x4
3 Ru 0.1723 0.5000 0.0155 x4

---

c.
This record from Alexandria via LeMat-Bulk describes a relaxed structure of BaNaRu. The functional is GGA-PBE.

Cell lengths 4.2169, 6.4803, 8.8858 Å; angles 107.16, 90.29, 108.79 degrees
Space group P1 (No. 1)
Inequivalent atoms, fractional coordinates:
1 Ba 0.0000 0.0000 0.0000 x1
2 Ba 0.3281 0.6441 0.2676 x1
3 Na 0.0698 0.1180 0.6331 x1
4 Na 0.7594 0.5082 0.6302 x1
5 Ru 0.2748 0.5459 0.9110 x1
6 Ru 0.7045 0.4031 0.9499 x1

---

Stability summary: most stable b, least stable c.

---

a.
This record from Alexandria via LeMat-Bulk describes a relaxed structure of BaNaRu2. The functional is GGA-PBE.

Cell lengths 7.0289, 7.0289, 7.0289 Å; angles 90.00, 90.00, 90.00 degrees
Space group Fm-3m (No. 225)
Inequivalent atoms, fractional coordinates:
1 Ba 0.0000 0.0000 0.0000 x4
2 Na 0.0000 0.0000 0.5000 x4
3 Ru 0.2500 0.2500 0.2500 x8

---

b.
This record from Alexandria via LeMat-Bulk describes a relaxed structure of BaNaRu2. The functional is GGA-PBE.

Cell lengths 8.4031, 8.4031, 5.2715 Å; angles 90.00, 90.00, 90.00 degrees
Space group I-42d (No. 122)
Inequivalent atoms, fractional coordinates:
1 Ba 0.0000 0.0000 0.0000 x4
2 Na 0.0000 0.0000 0.5000 x4
3 Ru 0.2293 0.2500 0.6250 x8

---

Stability summary: most stable a, least stable b.